(1)
Entry from Alexandria: a relaxed SrAg2I4O8 crystal (PBE).

Structure (CIF):
```
data_SrAg2I4O8
_cell_length_a 7.6632
_cell_length_b 7.6632
_cell_length_c 10.6010
_cell_angle_alpha 90.00
_cell_angle_beta 90.00
_cell_angle_gamma 90.00
_symmetry_space_group_name_H-M 'I 4 2 2'
_symmetry_Int_Tables_number 97
_symmetry_space_group_name_Hall 'I 4 2'
loop_
_atom_site_label
_atom_site_fract_x
_atom_site_fract_y
_atom_site_fract_z
_atom_site_occupancy
Sr1 0.0000 0.0000 0.0000 1
Ag1 0.0000 0.5000 0.0000 1
I1 0.2455 0.2545 0.7500 1
O1 0.0305 0.2746 0.1509 1
```

Values from the calculation:
* formation energy without anion corrections: -567 meV/atom

=====

(2)
Entry from Alexandria: a relaxed Ta2WBr crystal (PBE).

Structure (CIF):
```
data_Ta2WBr
_cell_length_a 10.4535
_cell_length_b 3.2130
_cell_length_c 4.6529
_cell_angle_alpha 90.00
_cell_angle_beta 107.78
_cell_angle_gamma 90.00
_symmetry_space_group_name_H-M 'C 1 m 1'
_symmetry_Int_Tables_number 8
loop_
_symmetry_equiv_pos_as_xyz
'x,y,z'
'x,-y,z'
'x+1/2,y+1/2,z'
'x+1/2,-y+1/2,z'
loop_
_atom_site_label
_atom_site_fract_x
_atom_site_fract_y
_atom_site_fract_z
_atom_site_occupancy
Ta1 0.0000 0.0000 0.0000 1
Ta2 0.2197 0.0000 0.6675 1
W1 0.0067 0.5000 0.5362 1
Br1 0.2881 0.5000 0.1992 1
```

Values from the calculation:
* formation energy without anion corrections: 671 meV/atom
* relative energy among the computed polymorphs: 0.5015 eV/atom

=====

(3)
Entry from Alexandria: a relaxed Cr2ReCl crystal (PBE).

Structure (CIF):
```
data_Cr2ReCl
_cell_length_a 6.6538
_cell_length_b 6.5836
_cell_length_c 2.8360
_cell_angle_alpha 90.00
_cell_angle_beta 99.91
_cell_angle_gamma 90.00
_symmetry_space_group_name_H-M 'C 1 2/m 1'
_symmetry_Int_Tables_number 12
loop_
_symmetry_equiv_pos_as_xyz
'x,y,z'
'-x,-y,-z'
'-x,y,-z'
'x,-y,z'
'x+1/2,y+1/2,z'
'-x+1/2,-y+1/2,-z'
'-x+1/2,y+1/2,-z'
'x+1/2,-y+1/2,z'
loop_
_atom_site_label
_atom_site_fract_x
_atom_site_fract_y
_atom_site_fract_z
_atom_site_occupancy
Cr1 0.2500 0.2500 0.0000 1
Re1 0.0000 0.0000 0.5000 1
Cl1 0.0000 0.5000 0.5000 1
```

Values from the calculation:
* formation energy without anion corrections: 756 meV/atom
* relative energy among the computed polymorphs: 0.5889 eV/atom

=====

(4)
Entry from Alexandria: a relaxed Li2YZnGe2 crystal (PBE).

Structure (CIF):
```
data_Li2YZnGe2
_cell_length_a 4.1971
_cell_length_b 7.7320
_cell_length_c 7.0509
_cell_angle_alpha 90.00
_cell_angle_beta 90.00
_cell_angle_gamma 90.00
_symmetry_space_group_name_H-M 'P m c 21'
_symmetry_Int_Tables_number 26
loop_
_symmetry_equiv_pos_as_xyz
'x,y,z'
'-x,-y,z+1/2'
'-x,y,z'
'x,-y,z+1/2'
loop_
_atom_site_label
_atom_site_fract_x
_atom_site_fract_y
_atom_site_fract_z
_atom_site_occupancy
Li1 0.0000 0.0686 0.0000 1
Li2 0.5000 0.1715 0.3252 1
Y1 0.5000 0.4354 0.9602 1
Zn1 0.0000 0.3059 0.6199 1
Ge1 0.0000 0.3683 0.2463 1
Ge2 0.5000 0.1376 0.6973 1
```

Values from the calculation:
* formation energy from the elements: -2.9 eV/f.u.

=====

(5)
Entry from Alexandria: a relaxed Ba2NaCaF crystal (PBE).

Structure (CIF):
```
data_Ba2NaCaF
_cell_length_a 5.6107
_cell_length_b 5.6107
_cell_length_c 6.3194
_cell_angle_alpha 90.00
_cell_angle_beta 90.00
_cell_angle_gamma 90.00
_symmetry_space_group_name_H-M 'P 4/m m m'
_symmetry_Int_Tables_number 123
_symmetry_space_group_name_Hall '-P 4 2'
loop_
_atom_site_label
_atom_site_fract_x
_atom_site_fract_y
_atom_site_fract_z
_atom_site_occupancy
Ba1 0.0000 0.5000 0.0000 1
Na1 0.0000 0.0000 0.5000 1
Ca1 0.5000 0.5000 0.5000 1
F1 0.0000 0.0000 0.0000 1
```

Values from the calculation:
* formation energy without anion corrections: -1006 meV/atom
* relative energy among the computed polymorphs: 0.0409 eV/atom

=====

(6)
Entry from Alexandria: a relaxed Sm3PaTl4Te8 crystal (PBE).

Structure (CIF):
```
data_Sm3PaTl4Te8
_cell_length_a 8.9555
_cell_length_b 8.9555
_cell_length_c 24.7963
_cell_angle_alpha 90.00
_cell_angle_beta 90.00
_cell_angle_gamma 120.00
_symmetry_space_group_name_H-M 'R -3 m'
_symmetry_Int_Tables_number 166
_symmetry_space_group_name_Hall '-R 3 2"'
loop_
_atom_site_label
_atom_site_fract_x
_atom_site_fract_y
_atom_site_fract_z
_atom_site_occupancy
Sm1 0.0000 0.5000 0.0000 1
Pa1 0.0000 0.0000 0.0000 1
Tl1 0.0000 0.0000 0.5000 1
Tl2 0.0000 0.5000 0.5000 1
Te1 0.0000 0.0000 0.2604 1
Te2 0.0042 0.5021 0.7396 1
```

Values from the calculation:
* formation energy without anion corrections: -939 meV/atom

=====

(7)
Entry from Alexandria: a relaxed Tb2CuPbSe4 crystal (PBE).

Structure (CIF):
```
data_Tb2CuPbSe4
_cell_length_a 4.0522
_cell_length_b 13.7003
_cell_length_c 14.4563
_cell_angle_alpha 90.00
_cell_angle_beta 90.00
_cell_angle_gamma 90.00
_symmetry_space_group_name_H-M 'C m c m'
_symmetry_Int_Tables_number 63
_symmetry_space_group_name_Hall '-C 2c 2'
loop_
_atom_site_label
_atom_site_fract_x
_atom_site_fract_y
_atom_site_fract_z
_atom_site_occupancy
Tb1 0.0000 0.1309 0.0650 1
Cu1 0.0000 0.3405 0.7500 1
Pb1 0.0000 0.3743 0.2500 1
Se1 0.0000 0.0525 0.2500 1
Se2 0.0000 0.2251 0.6159 1
Se3 0.0000 0.5000 0.0000 1
```

Values from the calculation:
* formation energy without anion corrections: -1192 meV/atom

=====

(8)
Entry from Alexandria: a relaxed Hf2HgGe crystal (PBE).

Structure (CIF):
```
data_Hf2HgGe
_cell_length_a 3.1605
_cell_length_b 3.1605
_cell_length_c 28.5434
_cell_angle_alpha 90.00
_cell_angle_beta 90.00
_cell_angle_gamma 120.00
_symmetry_space_group_name_H-M 'R -3 m'
_symmetry_Int_Tables_number 166
_symmetry_space_group_name_Hall '-R 3 2"'
loop_
_atom_site_label
_atom_site_fract_x
_atom_site_fract_y
_atom_site_fract_z
_atom_site_occupancy
Hf1 0.0000 0.0000 0.2461 1
Hg1 0.0000 0.0000 0.0000 1
Ge1 0.0000 0.0000 0.5000 1
```

Values from the calculation:
* formation energy from the elements: -0.4 eV/f.u.
* relative energy among the computed polymorphs: 0.0000 eV/atom

=====

(9)
Entry from Alexandria: a relaxed TmH8Pd6 crystal (PBE).

Structure (CIF):
```
data_TmH8Pd6
_cell_length_a 8.0407
_cell_length_b 8.0407
_cell_length_c 7.5535
_cell_angle_alpha 90.00
_cell_angle_beta 90.00
_cell_angle_gamma 120.00
_symmetry_space_group_name_H-M 'R -3'
_symmetry_Int_Tables_number 148
_symmetry_space_group_name_Hall '-R 3'
loop_
_atom_site_label
_atom_site_fract_x
_atom_site_fract_y
_atom_site_fract_z
_atom_site_occupancy
Tm1 0.0000 0.0000 0.0000 1
H1 0.0000 0.0000 0.3078 1
H2 0.0186 0.4250 0.7995 1
Pd1 0.0422 0.2473 0.6691 1
```

Values from the calculation:
* total energy: -4.419 eV per atom

=====

(10)
Entry from Alexandria: a relaxed Pu6P3N crystal (PBE).

Structure (CIF):
```
data_Pu6P3N
_cell_length_a 10.9490
_cell_length_b 6.2078
_cell_length_c 7.5185
_cell_angle_alpha 90.00
_cell_angle_beta 117.53
_cell_angle_gamma 90.00
_symmetry_space_group_name_H-M 'C 1 2/m 1'
_symmetry_Int_Tables_number 12
loop_
_symmetry_equiv_pos_as_xyz
'x,y,z'
'-x,-y,-z'
'-x,y,-z'
'x,-y,z'
'x+1/2,y+1/2,z'
'-x+1/2,-y+1/2,-z'
'-x+1/2,y+1/2,-z'
'x+1/2,-y+1/2,z'
loop_
_atom_site_label
_atom_site_fract_x
_atom_site_fract_y
_atom_site_fract_z
_atom_site_occupancy
Pu1 0.0788 0.2455 0.3478 1
Pu2 0.2207 0.5000 0.8646 1
P1 0.0000 0.0000 0.0000 1
P2 0.1988 0.0000 0.7164 1
N1 0.0000 0.5000 0.5000 1
```

Values from the calculation:
* formation energy without anion corrections: -730 meV/atom